Compound: Na2MgZr2Te6
Source: the Alexandria database
Functional: PBE-GGA
Structure: optimized geometry

Values from the calculation:
Symmetry: C2/m
E_tot (eV per formula unit): -49.9
Spin magnetization (μB per formula unit): 0.00
E_form (uncorrected) (eV per atom): -0.88
V (Å³ per cell): 349.5

a b c (Å): 7.2591 7.2591 8.0746
angles (deg): 98.64 98.64 120.47
Fractional positions:
Mg 0.0000 0.0000 0.5000
Zr 0.6680 0.3320 0.5000
Zr 0.3320 0.6680 0.5000
Te 0.5868 0.9242 0.2788
Te 0.9242 0.5868 0.2788
Te 0.4132 0.0758 0.7212
Te 0.7340 0.7340 0.7185
Te 0.0758 0.4132 0.7212
Te 0.2660 0.2660 0.2815
Na 0.8354 0.1646 0.0000
Na 0.1646 0.8354 0.0000

***

Compound: Ac5InCu4
Source: the Alexandria database
Functional: PBE-GGA
Structure: optimized geometry

Values from the calculation:
Symmetry: P4/mmm
E_tot (eV per formula unit): -41.2
Spin magnetization (μB per formula unit): 0.00
Formation energy (eV/atom): -0.151
V (Å³ per cell): 288.4

a b c (Å): 3.8267 3.8267 19.6963
angles (deg): 90.00 90.00 90.00
Fractional positions:
Cu 0.0000 0.0000 0.4040
Cu 0.0000 0.0000 0.5960
Cu 0.0000 0.0000 0.7875
Cu 0.0000 0.0000 0.2125
Ac 0.5000 0.5000 0.5000
Ac 0.5000 0.5000 0.6924
Ac 0.5000 0.5000 0.3076
Ac 0.5000 0.5000 0.8840
Ac 0.5000 0.5000 0.1160
In 0.0000 0.0000 0.0000

***

Compound: Sr2InAg3
Source: the Alexandria database
Functional: PBE-GGA
Structure: optimized geometry

Values from the calculation:
Symmetry: Cm
E_tot (eV per formula unit): -16.6
Spin magnetization (μB per formula unit): 0.00
E above lowest polymorph (eV per atom): 0.000
Formation energy (eV/atom): -0.325
V (Å³ per cell): 163.9

a b c (Å): 4.9214 6.3955 6.1659
angles (deg): 77.89 66.48 67.37
Fractional positions:
Ag 0.8385 0.2158 0.1072
Ag 0.1583 0.7831 0.9003
Ag 0.8365 0.6070 0.7200
In 0.1680 0.3963 0.2677
Sr 0.5500 0.1968 0.7031
Sr 0.4486 0.8010 0.3017

***

Compound: Ce2AlSi
Source: the Alexandria database
Functional: PBE-GGA
Structure: optimized geometry

Values from the calculation:
Symmetry: Cmmm
E_tot (eV per formula unit): -22.7
Spin magnetization (μB per formula unit): 0.00
E_form (uncorrected) (eV per atom): -0.41
V (Å³ per cell): 88.1

a b c (Å): 5.3657 5.3657 3.1928
angles (deg): 90.00 90.00 106.62
Fractional positions:
Ce 0.5000 0.5000 0.0000
Ce 0.0000 0.0000 0.0000
Al 0.0000 0.5000 0.5000
Si 0.5000 0.0000 0.5000

***

Compound: ZrBiSeBr2
Source: the Alexandria database
Functional: PBE-GGA
Structure: optimized geometry

Values from the calculation:
Symmetry: P4/mmm
E_tot (eV per formula unit): -17.2
Spin magnetization (μB per formula unit): 2.67
E_form (uncorrected) (eV per atom): 0.42
E above lowest polymorph (eV per atom): 0.819
V (Å³ per cell): 180.8

a b c (Å): 5.6498 5.6498 5.6637
angles (deg): 90.00 90.00 90.00
Each line ends with the local moment (μB).
Fractional positions:
Br 0.0000 0.5000 0.0000  0.01
Br 0.5000 0.0000 0.0000  0.01
Se 0.0000 0.0000 0.5000  -0.05
Bi 0.0000 0.0000 0.0000  0.06
Zr 0.5000 0.5000 0.5000  1.71

***

Compound: Ce2PuBi
Source: the Alexandria database
Functional: PBE-GGA
Structure: optimized geometry

Values from the calculation:
Symmetry: P4/mmm
E_tot (eV per formula unit): -31.2
Spin magnetization (μB per formula unit): 8.48
E above lowest polymorph (eV per atom): 0.093
Formation energy (eV/atom): -0.270
V (Å³ per cell): 114.1

a b c (Å): 4.0716 4.0716 6.8853
angles (deg): 90.00 90.00 90.00
Each line ends with the local moment (μB).
Fractional positions:
Ce 0.0000 0.0000 0.2511  0.94
Ce 0.0000 0.0000 0.7489  0.94
Pu 0.5000 0.5000 0.5000  5.66
Bi 0.5000 0.5000 0.0000  -0.07

***

Compound: Al3Ga2Ag
Source: the Alexandria database
Functional: PBE-GGA
Structure: optimized geometry

Values from the calculation:
Symmetry: C2/c
E_tot (eV per formula unit): -19.8
Spin magnetization (μB per formula unit): 0.00
E above lowest polymorph (eV per atom): 0.040
Formation energy (eV/atom): 0.063
V (Å³ per cell): 432.6

a b c (Å): 5.0001 6.5458 16.3402
angles (deg): 79.35 61.07 67.55
Fractional positions:
Al 0.1108 0.5249 0.3461
Al 0.1124 0.3058 0.9535
Al 0.0310 0.9381 0.2500
Al 0.8892 0.4751 0.6539
Al 0.6593 0.6814 0.2500
Al 0.9690 0.0619 0.7500
Al 0.3643 0.5249 0.1539
Al 0.3407 0.3186 0.7500
Al 0.5818 0.3058 0.5465
Al 0.6357 0.4751 0.8461
Al 0.8876 0.6942 0.0465
Al 0.4182 0.6942 0.4535
Ga 0.0081 0.3029 0.1389
Ga 0.9919 0.6971 0.8611
Ga 0.6889 0.3029 0.3611
Ga 0.8233 0.8648 0.4653
Ga 0.3110 0.6971 0.6389
Ga 0.6881 0.1352 0.9653
Ga 0.3119 0.8648 0.0347
Ga 0.1767 0.1352 0.5347
Ag 0.6835 0.9230 0.6504
Ag 0.3935 0.9230 0.8496
Ag 0.3165 0.0770 0.3496
Ag 0.6065 0.0770 0.1504

***

Compound: Nb2ZnHPd
Source: the Alexandria database
Functional: PBE-GGA
Structure: optimized geometry

Values from the calculation:
Symmetry: P4/mmm
E_tot (eV per formula unit): -30.9
Spin magnetization (μB per formula unit): 0.00
E above lowest polymorph (eV per atom): 0.000
V (Å³ per cell): 68.4

a b c (Å): 4.0839 4.0839 4.1032
angles (deg): 90.00 90.00 90.00
Fractional positions:
Pd 0.0000 0.0000 0.5000
Nb 0.5000 0.0000 0.0000
Nb 0.0000 0.5000 0.0000
Zn 0.5000 0.5000 0.5000
H 0.0000 0.0000 0.0000

***

Compound: La3ErTm2
Source: the Alexandria database
Functional: PBE-GGA
Structure: optimized geometry

Values from the calculation:
Symmetry: Immm
E_tot (eV per formula unit): -26.3
Spin magnetization (μB per formula unit): 0.00
E above lowest polymorph (eV per atom): 0.248
Formation energy (eV/atom): 0.335
V (Å³ per cell): 204.6

a b c (Å): 3.4660 6.0030 10.4252
angles (deg): 106.73 99.57 90.00
Fractional positions:
La 0.0000 0.5000 0.0000
La 0.8134 0.8134 0.6269
La 0.1866 0.1866 0.3731
Tm 0.6377 0.6377 0.2754
Tm 0.3623 0.3623 0.7246
Er 0.0000 0.0000 0.0000

***

Compound: ZrBiSe4
Source: the Alexandria database
Functional: PBE-GGA
Structure: optimized geometry

Values from the calculation:
Symmetry: P2_1/c
E_tot (eV per formula unit): -30.1
Spin magnetization (μB per formula unit): 0.00
E_form (uncorrected) (eV per atom): -0.62
E above lowest polymorph (eV per atom): 0.098
V (Å³ per cell): 322.4

a b c (Å): 6.8967 6.8992 6.7754
angles (deg): 90.00 90.44 90.00
Fractional positions:
Se 0.6557 0.1514 0.8885
Se 0.8893 0.1119 0.3602
Se 0.3893 0.3881 0.3602
Se 0.3443 0.8486 0.1115
Se 0.6107 0.6119 0.6398
Se 0.1107 0.8881 0.6398
Se 0.8443 0.6514 0.1115
Se 0.1557 0.3486 0.8885
Zr 0.0000 0.0000 0.0000
Zr 0.5000 0.5000 0.0000
Bi 0.5000 0.0000 0.5000
Bi 0.0000 0.5000 0.5000

***

Compound: Be2OsPt
Source: the Alexandria database
Functional: PBE-GGA
Structure: optimized geometry

Values from the calculation:
Symmetry: Cm
E_tot (eV per formula unit): -25.8
Spin magnetization (μB per formula unit): 0.00
Formation energy (eV/atom): -0.277
V (Å³ per cell): 46.9

a b c (Å): 4.5950 4.5950 4.1934
angles (deg): 73.05 73.05 33.76
Fractional positions:
Pt 0.2534 0.2534 0.1700
Be 0.7467 0.7467 0.6843
Be 0.0029 0.0029 0.0640
Os 0.4970 0.4970 0.5817

***

Compound: Pu2Ga6CoNi
Source: the Alexandria database
Functional: PBE-GGA
Structure: optimized geometry

Values from the calculation:
Symmetry: Fm-3m
E_tot (eV per formula unit): -62.3
Spin magnetization (μB per formula unit): 12.58
Formation energy (eV/atom): -0.255
V (Å³ per cell): 189.5

a b c (Å): 6.4469 6.4469 6.4469
angles (deg): 60.00 60.00 90.00
Each line ends with the local moment (μB).
Fractional positions:
Ga 0.2494 0.2494 0.5012  0.03
Ga 0.2494 0.7506 0.0000  0.03
Ga 0.7506 0.2494 0.0000  0.03
Ga 0.7506 0.7506 0.0000  0.03
Ga 0.2494 0.2494 0.0000  0.03
Ga 0.7506 0.7506 0.4988  0.03
Co 0.0000 0.0000 0.0000  0.43
Ni 0.5000 0.5000 0.0000  0.19
Pu 0.7500 0.2500 0.5000  5.49
Pu 0.2500 0.7500 0.5000  5.49

***

Compound: CsAgHgCl2
Source: the Alexandria database
Functional: PBE-GGA
Structure: optimized geometry

Values from the calculation:
Symmetry: P4/mmm
E_tot (eV per formula unit): -12.2
Spin magnetization (μB per formula unit): 0.00
E_form (uncorrected) (eV per atom): -0.90
V (Å³ per cell): 166.3

a b c (Å): 5.4905 5.4905 5.5154
angles (deg): 90.00 90.00 90.00
Fractional positions:
Cl 0.0000 0.5000 0.0000
Cl 0.5000 0.0000 0.0000
Cs 0.5000 0.5000 0.5000
Hg 0.0000 0.0000 0.5000
Ag 0.0000 0.0000 0.0000

***

Compound: Na5Bi5Pb2
Source: the Alexandria database
Functional: PBE-GGA
Structure: optimized geometry

Values from the calculation:
Symmetry: C2/m
E_tot (eV per formula unit): -35.7
Spin magnetization (μB per formula unit): 0.00
E above lowest polymorph (eV per atom): 0.020
Formation energy (eV/atom): -0.189
V (Å³ per cell): 372.5

a b c (Å): 5.2167 7.1110 11.3485
angles (deg): 73.99 76.71 68.48
Fractional positions:
Na 0.6580 0.6841 0.9998
Na 0.5000 0.5000 0.5000
Na 0.4082 0.9360 0.2477
Na 0.3420 0.3159 0.0002
Na 0.5918 0.0640 0.7523
Bi 0.1688 0.1255 0.5368
Bi 0.8312 0.8745 0.4632
Bi 0.0000 0.0000 0.0000
Bi 0.2511 0.7240 0.7738
Bi 0.7489 0.2760 0.2262
Pb 0.0898 0.5579 0.2624
Pb 0.9102 0.4421 0.7376

***

Compound: ReTc2Hg
Source: the Alexandria database
Functional: PBE-GGA
Structure: optimized geometry

Values from the calculation:
Symmetry: P4/mmm
E_tot (eV per formula unit): -30.8
Spin magnetization (μB per formula unit): 0.01
Formation energy (eV/atom): 0.670
V (Å³ per cell): 63.2

a b c (Å): 3.8985 4.0266 4.0266
angles (deg): 90.00 90.00 90.00
Fractional positions:
Re 0.5000 0.0000 0.5000
Hg 0.5000 0.5000 0.0000
Tc 0.0000 0.5000 0.5000
Tc 0.0000 0.0000 0.0000

***

Compound: Cs3Pu2Br3Cl4
Source: the Alexandria database
Functional: PBE-GGA
Structure: optimized geometry

Values from the calculation:
Symmetry: Immm
E_tot (eV per formula unit): -64.6
Spin magnetization (μB per formula unit): 12.00
E_form (uncorrected) (eV per atom): -1.75
V (Å³ per cell): 480.9

a b c (Å): 5.5889 5.8901 15.1609
angles (deg): 101.20 100.62 90.00
Each line ends with the local moment (μB).
Fractional positions:
Cs 0.5023 0.5000 0.0000  0.00
Cs 0.6854 0.6837 0.3674  0.01
Cs 0.3180 0.3163 0.6326  0.01
Cl 0.8045 0.8014 0.6029  -0.02
Cl 0.2016 0.1986 0.3971  -0.02
Cl 0.6039 0.1015 0.2031  -0.03
Cl 0.4008 0.8985 0.7969  -0.03
Br 0.9056 0.4036 0.8071  -0.02
Br 0.0984 0.5964 0.1929  -0.02
Br 0.0027 0.0000 0.0000  -0.02
Pu 0.1056 0.1033 0.2065  5.75
Pu 0.8991 0.8967 0.7935  5.75

***

Compound: LaZr2Cu
Source: the Alexandria database
Functional: PBE-GGA
Structure: optimized geometry

Values from the calculation:
Symmetry: P4mm
E_tot (eV per formula unit): -26.2
Spin magnetization (μB per formula unit): 0.00
E above lowest polymorph (eV per atom): 0.000
Formation energy (eV/atom): -0.027
V (Å³ per cell): 94.4

a b c (Å): 3.3356 3.3356 8.4836
angles (deg): 90.00 90.00 90.00
Fractional positions:
Zr 0.0000 0.0000 0.0405
Zr 0.5000 0.5000 0.2826
La 0.5000 0.5000 0.7177
Cu 0.0000 0.0000 0.4592

***

Compound: LaHf2TlAs
Source: the Alexandria database
Functional: PBE-GGA
Structure: optimized geometry

Values from the calculation:
Symmetry: P4/mmm
E_tot (eV per formula unit): -25.4
Spin magnetization (μB per formula unit): 0.00
Formation energy (eV/atom): 1.292
V (Å³ per cell): 161.4

a b c (Å): 5.3727 5.3727 5.5927
angles (deg): 90.00 90.00 90.00
Fractional positions:
Tl 0.5000 0.5000 0.5000
Hf 0.5000 0.0000 0.0000
Hf 0.0000 0.5000 0.0000
La 0.0000 0.0000 0.0000
As 0.0000 0.0000 0.5000

***

Compound: MgCd5Cl12
Source: the Alexandria database
Functional: PBE-GGA
Structure: optimized geometry

Values from the calculation:
Symmetry: C2/m
E_tot (eV per formula unit): -50.2
Spin magnetization (μB per formula unit): 0.00
E_form (uncorrected) (eV per atom): -1.21
V (Å³ per cell): 500.0

a b c (Å): 6.6782 6.6854 12.9267
angles (deg): 89.97 89.94 60.04
Fractional positions:
Cd 0.8332 0.3335 0.5000
Cd 0.1668 0.6665 0.5000
Cd 0.6667 0.6667 0.0000
Cd 0.3334 0.3333 0.0000
Cd 0.5000 0.0000 0.5000
Cl 0.6814 0.3184 0.1088
Cl 0.3186 0.6816 0.8913
Cl 0.1664 0.0000 0.6134
Cl 0.8332 0.6666 0.6136
Cl 0.1668 0.3335 0.3864
Cl 0.5003 0.6666 0.3864
Cl 0.6820 0.0000 0.8912
Cl 0.3181 0.0000 0.1088
Cl 0.4997 0.3335 0.6136
Cl 0.9998 0.6816 0.1088
Cl 0.0002 0.3184 0.8912
Cl 0.8336 0.0000 0.3866
Mg 0.0000 0.0000 0.0000

***

Compound: BeIn2Ni
Source: the Alexandria database
Functional: PBE-GGA
Structure: optimized geometry

Values from the calculation:
Symmetry: P4mm
E_tot (eV per formula unit): -14.6
Spin magnetization (μB per formula unit): 0.00
E above lowest polymorph (eV per atom): 0.026
Formation energy (eV/atom): 0.092
V (Å³ per cell): 69.1

a b c (Å): 2.9875 2.9875 7.7425
angles (deg): 90.00 90.00 90.00
Fractional positions:
Be 0.5000 0.5000 0.6745
In 0.5000 0.5000 0.3203
In 0.0000 0.0000 0.9368
Ni 0.0000 0.0000 0.5684